Record 1
A plane-wave DFT calculation with PBE was carried out for a relaxed structure of Pm7Sm4Er.

Cell and atoms, written as CIF:
```
data_Pm7Sm4Er
_space_group_name_H-M_alt 'P -1'
_space_group_IT_number 2
_cell_length_a 6.3322
_cell_length_b 7.3149
_cell_length_c 9.0457
_cell_angle_alpha 89.97
_cell_angle_beta 76.47
_cell_angle_gamma 89.99
loop_
_space_group_symop_operation_xyz
'x,y,z'
'-x,-y,-z'
loop_
_atom_site_label
_atom_site_type_symbol
_atom_site_fract_x
_atom_site_fract_y
_atom_site_fract_z
_atom_site_occupancy
Pm1 Pm 0.0000 0.0000 0.0000 1
Pm2 Pm 0.2214 0.5000 0.3330 1
Pm3 Pm 0.2778 0.2503 0.6687 1
Pm4 Pm 0.5002 0.2506 0.0000 1
Sm1 Sm 0.2231 0.0000 0.3333 1
Sm2 Sm 0.2777 0.7493 0.6692 1
Er1 Er 0.0000 0.5000 0.0000 1
```

## Properties
Density of states at the Fermi level (states/eV/cell): 15.3
Energy relative to the elements (eV/atom): 0.010

Record 2
A plane-wave DFT calculation with PBE was carried out for a relaxed structure of Tb2UCuS5.

Cell and atoms, written as CIF:
```
data_Tb2UCuS5
_space_group_name_H-M_alt 'C m c 21'
_space_group_IT_number 36
_cell_length_a 3.7987
_cell_length_b 17.0486
_cell_length_c 11.4208
_cell_angle_alpha 90.00
_cell_angle_beta 90.00
_cell_angle_gamma 90.00
loop_
_space_group_symop_operation_xyz
'x,y,z'
'-x,-y,z+1/2'
'-x,y,z'
'x,-y,z+1/2'
'x+1/2,y+1/2,z'
'-x+1/2,-y+1/2,z+1/2'
'-x+1/2,y+1/2,z'
'x+1/2,-y+1/2,z+1/2'
loop_
_atom_site_label
_atom_site_type_symbol
_atom_site_fract_x
_atom_site_fract_y
_atom_site_fract_z
_atom_site_occupancy
Tb1 Tb 0.0000 0.1037 0.0000 1
Tb2 Tb 0.0000 0.1184 0.6265 1
U1 U 0.0000 0.1976 0.3253 1
Cu1 Cu 0.0000 0.4421 0.7617 1
S1 S 0.0000 0.0455 0.3708 1
S2 S 0.0000 0.2935 0.9967 1
S3 S 0.0000 0.3217 0.6570 1
S4 S 0.0000 0.3600 0.3188 1
S5 S 0.0000 0.4951 0.0874 1
```

## Properties
Density of states at the Fermi level (states/eV/cell): 28.1
Formation energy (no corrections) (eV per atom): -1.506

Record 3
A plane-wave DFT calculation with PBE was carried out for a relaxed structure of Ho2InCu9.

Cell and atoms, written as CIF:
```
data_Ho2InCu9
_space_group_name_H-M_alt 'R -3 m'
_space_group_IT_number 166
_space_group_name_Hall '-R 3 2"'
_cell_length_a 5.0916
_cell_length_b 5.0916
_cell_length_c 24.8100
_cell_angle_alpha 90.00
_cell_angle_beta 90.00
_cell_angle_gamma 120.00
loop_
_atom_site_label
_atom_site_type_symbol
_atom_site_fract_x
_atom_site_fract_y
_atom_site_fract_z
_atom_site_occupancy
Ho1 Ho 0.0000 0.0000 0.1365 1
In1 In 0.0000 0.0000 0.0000 1
Cu1 Cu 0.0000 0.0000 0.3329 1
Cu2 Cu 0.0000 0.0000 0.5000 1
Cu3 Cu 0.0023 0.5012 0.9175 1
```

## Properties
Density of states at the Fermi level (states/eV/cell): 13.2
Energy relative to the elements (eV/atom): -0.128